(1)
# PBE Pm3BeGe3, optimized geometry
data_Pm3BeGe3
_symmetry_space_group_name_H-M 'I m m 2'
_symmetry_Int_Tables_number 44
_cell_length_a 4.004
_cell_length_b 4.355
_cell_length_c 18.051
_cell_angle_alpha 90.00
_cell_angle_beta 90.00
_cell_angle_gamma 90.00
loop_
_symmetry_equiv_pos_as_xyz
'x,y,z'
'-x,-y,z'
'-x,y,z'
'x,-y,z'
'x+1/2,y+1/2,z+1/2'
'-x+1/2,-y+1/2,z+1/2'
'-x+1/2,y+1/2,z+1/2'
'x+1/2,-y+1/2,z+1/2'
loop_
_atom_site_label
_atom_site_fract_x
_atom_site_fract_y
_atom_site_fract_z
Pm1 0.000 0.000 0.000
Pm2 0.000 0.000 0.366
Pm3 0.000 0.500 0.681
Be1 0.000 0.500 0.113
Ge1 0.000 0.000 0.547
Ge2 0.000 0.000 0.829
Ge3 0.000 0.500 0.238
# Total magnetic moment: 0.55 μB/f.u.
# E: -5.2774 eV per atom
# Excess energy over the best structure of this formula in the dataset: 0.00 eV per formula unit
# DOS(E_F): 9.2 states/eV/cell

(2)
# PBE Mn6SiGe, optimized geometry
data_Mn6SiGe
_symmetry_space_group_name_H-M 'A m m 2'
_symmetry_Int_Tables_number 38
_cell_length_a 4.031
_cell_length_b 5.703
_cell_length_c 8.136
_cell_angle_alpha 90.00
_cell_angle_beta 90.00
_cell_angle_gamma 90.00
loop_
_symmetry_equiv_pos_as_xyz
'x,y,z'
'-x,-y,z'
'-x,y,z'
'x,-y,z'
'x,y+1/2,z+1/2'
'-x,-y+1/2,z+1/2'
'-x,y+1/2,z+1/2'
'x,-y+1/2,z+1/2'
loop_
_atom_site_label
_atom_site_fract_x
_atom_site_fract_y
_atom_site_fract_z
Mn1 0.000 0.000 0.000
Mn2 0.000 0.238 0.741
Mn3 0.500 0.000 0.241
Mn4 0.500 0.247 0.502
Si1 0.500 0.000 0.761
Ge1 0.000 0.000 0.481
# Total magnetic moment: 2.02 μB/f.u.
# ΔE_f (raw): -13.0 kJ/mol of atoms
# E: -8.2669 eV per atom
# DOS(E_F): 14.6 states/eV/cell

(3)
# PBE Ca2InFe, optimized geometry
data_Ca2InFe
_symmetry_space_group_name_H-M 'R -3 m'
_symmetry_Int_Tables_number 166
_symmetry_space_group_name_Hall '-R 3 2"'
_cell_length_a 3.5424
_cell_length_b 3.5424
_cell_length_c 29.6858
_cell_angle_alpha 90.00
_cell_angle_beta 90.00
_cell_angle_gamma 120.00
loop_
_atom_site_label
_atom_site_fract_x
_atom_site_fract_y
_atom_site_fract_z
Ca1 0.0000 0.0000 0.2425
In1 0.0000 0.0000 0.0000
Fe1 0.0000 0.0000 0.5000
# Total magnetic moment: 2.57 μB/f.u.
# E: -3.4989 eV per atom
# DOS(E_F): 13.1 states/eV/cell

(4)
# PBE NpPa2In, optimized geometry
data_NpPa2In
_symmetry_space_group_name_H-M 'P 4/m m m'
_symmetry_Int_Tables_number 123
_symmetry_space_group_name_Hall '-P 4 2'
_cell_length_a 4.712
_cell_length_b 4.712
_cell_length_c 4.405
_cell_angle_alpha 90.00
_cell_angle_beta 90.00
_cell_angle_gamma 90.00
loop_
_atom_site_label
_atom_site_fract_x
_atom_site_fract_y
_atom_site_fract_z
Np1 0.000 0.000 0.000
Pa1 0.000 0.500 0.500
In1 0.500 0.500 0.000
# Total magnetic moment: 4.84 μB/f.u.
# E: -8.5102 eV per atom
# Excess energy over the best structure of this formula in the dataset: 0.00 eV per formula unit
# DOS(E_F): 11.7 states/eV/cell

(5)
# PBE CoHgAsPb2, optimized geometry
data_CoHgAsPb2
_symmetry_space_group_name_H-M 'P 4/m m m'
_symmetry_Int_Tables_number 123
_symmetry_space_group_name_Hall '-P 4 2'
_cell_length_a 5.784
_cell_length_b 5.784
_cell_length_c 4.337
_cell_angle_alpha 90.00
_cell_angle_beta 90.00
_cell_angle_gamma 90.00
loop_
_atom_site_label
_atom_site_fract_x
_atom_site_fract_y
_atom_site_fract_z
Co1 0.000 0.000 0.000
Hg1 0.500 0.500 0.000
As1 0.000 0.000 0.500
Pb1 0.000 0.500 0.500
# Total magnetic moment: 0.88 μB/f.u.
# E: -3.4570 eV per atom
# DOS(E_F): 5.2 states/eV/cell

(6)
# PBE LiMg4Hg, optimized geometry
data_LiMg4Hg
_symmetry_space_group_name_H-M 'C m c 21'
_symmetry_Int_Tables_number 36
_cell_length_a 4.869
_cell_length_b 20.920
_cell_length_c 5.509
_cell_angle_alpha 90.00
_cell_angle_beta 90.00
_cell_angle_gamma 90.00
loop_
_symmetry_equiv_pos_as_xyz
'x,y,z'
'-x,-y,z+1/2'
'-x,y,z'
'x,-y,z+1/2'
'x+1/2,y+1/2,z'
'-x+1/2,-y+1/2,z+1/2'
'-x+1/2,y+1/2,z'
'x+1/2,-y+1/2,z+1/2'
loop_
_atom_site_label
_atom_site_fract_x
_atom_site_fract_y
_atom_site_fract_z
Li1 0.000 0.075 0.000
Mg1 0.000 0.144 0.475
Mg2 0.000 0.260 0.828
Mg3 0.000 0.326 0.321
Mg4 0.000 0.465 0.192
Hg1 0.000 0.401 0.740
# Total magnetic moment: 0.00 μB/f.u.
# E: -1.4719 eV per atom
# Excess energy over the best structure of this formula in the dataset: 0.00 eV per formula unit
# DOS(E_F): 9.8 states/eV/cell

(7)
# PBE Er2VIn, optimized geometry
data_Er2VIn
_symmetry_space_group_name_H-M 'P 4/m m m'
_symmetry_Int_Tables_number 123
_symmetry_space_group_name_Hall '-P 4 2'
_cell_length_a 3.646
_cell_length_b 3.646
_cell_length_c 7.301
_cell_angle_alpha 90.00
_cell_angle_beta 90.00
_cell_angle_gamma 90.00
loop_
_atom_site_label
_atom_site_fract_x
_atom_site_fract_y
_atom_site_fract_z
Er1 0.000 0.000 0.232
V1 0.500 0.500 0.000
In1 0.500 0.500 0.500
# Total magnetic moment: 3.17 μB/f.u.
# E: -5.3253 eV per atom
# Excess energy over the best structure of this formula in the dataset: 0.00 eV per formula unit
# DOS(E_F): 2.8 states/eV/cell

(8)
# PBE Li2Zr2W, optimized geometry
data_Li2Zr2W
_symmetry_space_group_name_H-M 'P 4/m b m'
_symmetry_Int_Tables_number 127
_symmetry_space_group_name_Hall '-P 4 2ab'
_cell_length_a 7.875
_cell_length_b 7.875
_cell_length_c 2.787
_cell_angle_alpha 90.00
_cell_angle_beta 90.00
_cell_angle_gamma 90.00
loop_
_atom_site_label
_atom_site_fract_x
_atom_site_fract_y
_atom_site_fract_z
Li1 0.108 0.392 0.000
Zr1 0.190 0.690 0.500
W1 0.000 0.000 0.000
# Total magnetic moment: 0.00 μB/f.u.
# E: -6.2751 eV per atom
# Excess energy over the best structure of this formula in the dataset: 0.00 eV per formula unit
# DOS(E_F): 8.9 states/eV/cell